(1)
# Sn2SbSe6 | the Alexandria database | PBE-GGA | relaxed
# Raw formation energy, eV per atom: -0.28
# DOS(E_F), states/eV/atom: 0.198
data_Sn2SbSe6
_chemical_formula_sum 'Sn4 Sb2 Se12'
_cell_length_a 17.799
_cell_length_b 3.863
_cell_length_c 8.063
_cell_angle_alpha 90.00
_cell_angle_beta 106.83
_cell_angle_gamma 90.00
_space_group_name_H-M_alt 'C 1 2/m 1'
_space_group_IT_number 12
_space_group_name_Hall '-C 2y'
loop_
_atom_site_label
_atom_site_fract_x
_atom_site_fract_y
_atom_site_fract_z
_atom_site_occupancy
Sn1 0.167 0.000 0.335 1
Sb1 0.000 0.500 0.000 1
Se1 0.005 0.000 0.253 1
Se2 0.165 0.500 0.093 1
Se3 0.172 0.500 0.580 1

(2)
# SnSb2Se | the Alexandria database | PBE-GGA | relaxed
# Raw formation energy, eV per atom: 0.17
# Relative energy among the computed polymorphs, kJ/mol of formula units: 0
# DOS(E_F), states/eV/atom: 0.618
data_SnSb2Se
_chemical_formula_sum 'Sn4 Sb8 Se4'
_cell_length_a 7.416
_cell_length_b 7.416
_cell_length_c 7.416
_cell_angle_alpha 90.00
_cell_angle_beta 90.00
_cell_angle_gamma 90.00
_space_group_name_H-M_alt 'F m -3 m'
_space_group_IT_number 225
_space_group_name_Hall '-F 4 2 3'
loop_
_atom_site_label
_atom_site_fract_x
_atom_site_fract_y
_atom_site_fract_z
_atom_site_occupancy
Sn1 0.000 0.000 0.000 1
Sb1 0.250 0.250 0.250 1
Se1 0.000 0.000 0.500 1

(3)
# Sn2SbSe | the Alexandria database | PBE-GGA | relaxed
# Raw formation energy, eV per atom: 0.02
# Relative energy among the computed polymorphs, kJ/mol of formula units: 82
# DOS(E_F), states/eV/atom: 0.709
data_Sn2SbSe
_chemical_formula_sum 'Sn8 Sb4 Se4'
_cell_length_a 7.449
_cell_length_b 7.449
_cell_length_c 7.449
_cell_angle_alpha 90.00
_cell_angle_beta 90.00
_cell_angle_gamma 90.00
_space_group_name_H-M_alt 'F m -3 m'
_space_group_IT_number 225
_space_group_name_Hall '-F 4 2 3'
loop_
_atom_site_label
_atom_site_fract_x
_atom_site_fract_y
_atom_site_fract_z
_atom_site_occupancy
Sn1 0.250 0.250 0.250 1
Sb1 0.000 0.000 0.000 1
Se1 0.000 0.000 0.500 1

(4)
# SnSb3Se6 | the Alexandria database | PBE-GGA | relaxed
# Raw formation energy, eV per atom: -0.26
# DOS(E_F), states/eV/atom: 0.472
data_SnSb3Se6
_chemical_formula_sum 'Sn2 Sb6 Se12'
_cell_length_a 11.612
_cell_length_b 4.017
_cell_length_c 13.031
_cell_angle_alpha 90.00
_cell_angle_beta 105.69
_cell_angle_gamma 90.00
_space_group_name_H-M_alt 'P 1 21/m 1'
_space_group_IT_number 11
_space_group_name_Hall '-P 2yb'
loop_
_atom_site_label
_atom_site_fract_x
_atom_site_fract_y
_atom_site_fract_z
_atom_site_occupancy
Sn1 0.165 0.250 0.467 1
Sb1 0.057 0.750 0.817 1
Sb2 0.353 0.250 0.945 1
Sb3 0.418 0.750 0.358 1
Se1 0.007 0.250 0.629 1
Se2 0.119 0.250 0.969 1
Se3 0.253 0.250 0.282 1
Se4 0.271 0.750 0.782 1
Se5 0.376 0.750 0.548 1
Se6 0.422 0.750 0.103 1

(5)
# SnSb2Se5 | the Alexandria database | PBE-GGA | relaxed
# Raw formation energy, eV per atom: -0.15
# Relative energy among the computed polymorphs, kJ/mol of formula units: 61
# DOS(E_F), states/eV/atom: 0.426
data_SnSb2Se5
_chemical_formula_sum 'Sn4 Sb8 Se20'
_cell_length_a 5.642
_cell_length_b 13.697
_cell_length_c 13.391
_cell_angle_alpha 90.00
_cell_angle_beta 90.00
_cell_angle_gamma 90.00
_space_group_name_H-M_alt 'C m c m'
_space_group_IT_number 63
_space_group_name_Hall '-C 2c 2'
loop_
_atom_site_label
_atom_site_fract_x
_atom_site_fract_y
_atom_site_fract_z
_atom_site_occupancy
Sn1 0.000 0.196 0.250 1
Sb1 0.000 0.155 0.549 1
Se1 0.000 0.047 0.119 1
Se2 0.000 0.256 0.750 1
Se3 0.000 0.321 0.076 1

(6)
# Sn5SbSe4 | the Alexandria database | PBE-GGA | relaxed
# Raw formation energy, eV per atom: -0.32
# DOS(E_F), states/eV/atom: 0.412
data_Sn5SbSe4
_chemical_formula_sum 'Sn10 Sb2 Se8'
_cell_length_a 9.650
_cell_length_b 9.650
_cell_length_c 6.036
_cell_angle_alpha 90.00
_cell_angle_beta 90.00
_cell_angle_gamma 90.00
_space_group_name_H-M_alt 'I 4'
_space_group_IT_number 79
_space_group_name_Hall 'I 4'
loop_
_atom_site_label
_atom_site_fract_x
_atom_site_fract_y
_atom_site_fract_z
_atom_site_occupancy
Sn1 0.000 0.000 0.000 1
Sn2 0.105 0.699 0.498 1
Sb1 0.000 0.000 0.500 1
Se1 0.106 0.705 0.003 1

(7)
# SnSbSe2 | the Alexandria database | PBE-GGA | relaxed
# Raw formation energy, eV per atom: -0.22
# DOS(E_F), states/eV/atom: 0.513
data_SnSbSe2
_chemical_formula_sum 'Sn1 Sb1 Se2'
_cell_length_a 4.025
_cell_length_b 6.077
_cell_length_c 4.462
_cell_angle_alpha 90.00
_cell_angle_beta 90.00
_cell_angle_gamma 90.00
_space_group_name_H-M_alt 'P m m 2'
_space_group_IT_number 25
_space_group_name_Hall 'P 2 -2'
loop_
_atom_site_label
_atom_site_fract_x
_atom_site_fract_y
_atom_site_fract_z
_atom_site_occupancy
Sn1 0.000 0.000 0.000 1
Sb1 0.500 0.500 0.511 1
Se1 0.000 0.500 0.004 1
Se2 0.500 0.000 0.535 1

(8)
# Sn3SbSe6 | the Alexandria database | PBE-GGA | relaxed
# Raw formation energy, eV per atom: -0.33
# DOS(E_F), states/eV/atom: 0.298
data_Sn3SbSe6
_chemical_formula_sum 'Sn6 Sb2 Se12'
_cell_length_a 10.072
_cell_length_b 4.003
_cell_length_c 14.481
_cell_angle_alpha 90.00
_cell_angle_beta 99.80
_cell_angle_gamma 90.00
_space_group_name_H-M_alt 'P 1 21/m 1'
_space_group_IT_number 11
_space_group_name_Hall '-P 2yb'
loop_
_atom_site_label
_atom_site_fract_x
_atom_site_fract_y
_atom_site_fract_z
_atom_site_occupancy
Sn1 0.064 0.250 0.282 1
Sn2 0.355 0.750 0.427 1
Sn3 0.435 0.250 0.838 1
Sb1 0.160 0.750 0.951 1
Se1 0.044 0.750 0.125 1
Se2 0.080 0.750 0.416 1
Se3 0.244 0.750 0.775 1
Se4 0.341 0.250 0.292 1
Se5 0.350 0.250 0.014 1
Se6 0.371 0.250 0.562 1

(9)
# Sn4SbSe3 | the Alexandria database | PBE-GGA | relaxed
# Raw formation energy, eV per atom: -0.22
# DOS(E_F), states/eV/atom: 0.301
data_Sn4SbSe3
_chemical_formula_sum 'Sn8 Sb2 Se6'
_cell_length_a 5.979
_cell_length_b 9.669
_cell_length_c 9.077
_cell_angle_alpha 90.00
_cell_angle_beta 90.00
_cell_angle_gamma 90.00
_space_group_name_H-M_alt 'P m m n'
_space_group_IT_number 59
loop_
_space_group_symop_operation_xyz
'x,y,z'
'-x,-y,-z'
'-x+1/2,-y+1/2,z'
'x+1/2,y+1/2,-z'
'x+1/2,-y,-z'
'-x+1/2,y,z'
'-x,y+1/2,-z'
'x,-y+1/2,z'
loop_
_atom_site_label
_atom_site_fract_x
_atom_site_fract_y
_atom_site_fract_z
_atom_site_occupancy
Sn1 0.250 0.041 0.142 1
Sn2 0.250 0.250 0.703 1
Sn3 0.250 0.750 0.615 1
Sb1 0.250 0.750 0.265 1
Se1 0.250 0.250 0.403 1
Se2 0.250 0.530 0.821 1

(10)
# SnSbSe2 | the Alexandria database | PBE-GGA | relaxed
# Raw formation energy, eV per atom: -0.05
# DOS(E_F), states/eV/atom: 0.415
data_SnSbSe2
_chemical_formula_sum 'Sn4 Sb4 Se8'
_cell_length_a 5.581
_cell_length_b 5.581
_cell_length_c 16.637
_cell_angle_alpha 90.00
_cell_angle_beta 90.00
_cell_angle_gamma 90.00
_space_group_name_H-M_alt 'I -4 2 d'
_space_group_IT_number 122
_space_group_name_Hall 'I -4 2bw'
loop_
_atom_site_label
_atom_site_fract_x
_atom_site_fract_y
_atom_site_fract_z
_atom_site_occupancy
Sn1 0.000 0.000 0.000 1
Sb1 0.000 0.000 0.500 1
Se1 0.239 0.250 0.625 1

(11)
# SnSb3Se | the Alexandria database | PBE-GGA | relaxed
# Raw formation energy, eV per atom: 0.94
# Relative energy among the computed polymorphs, kJ/mol of formula units: 190
# DOS(E_F), states/eV/atom: 1.048
data_SnSb3Se
_chemical_formula_sum 'Sn1 Sb3 Se1'
_cell_length_a 5.617
_cell_length_b 5.617
_cell_length_c 5.617
_cell_angle_alpha 90.00
_cell_angle_beta 90.00
_cell_angle_gamma 90.00
_space_group_name_H-M_alt 'P m -3 m'
_space_group_IT_number 221
_space_group_name_Hall '-P 4 2 3'
loop_
_atom_site_label
_atom_site_fract_x
_atom_site_fract_y
_atom_site_fract_z
_atom_site_occupancy
Sn1 0.000 0.000 0.000 1
Sb1 0.000 0.000 0.500 1
Se1 0.500 0.500 0.500 1

(12)
# Sn2SbSe | the Alexandria database | PBE-GGA | relaxed
# Raw formation energy, eV per atom: -0.12
# Relative energy among the computed polymorphs, kJ/mol of formula units: 30
# DOS(E_F), states/eV/atom: 0.431
data_Sn2SbSe
_chemical_formula_sum 'Sn6 Sb3 Se3'
_cell_length_a 4.1010
_cell_length_b 4.1010
_cell_length_c 24.6815
_cell_angle_alpha 90.00
_cell_angle_beta 90.00
_cell_angle_gamma 120.00
_space_group_name_H-M_alt 'R 3 m'
_space_group_IT_number 160
_space_group_name_Hall 'R 3 -2"'
loop_
_atom_site_label
_atom_site_fract_x
_atom_site_fract_y
_atom_site_fract_z
_atom_site_occupancy
Sn1 0.0000 0.0000 0.0000 1
Sn2 0.0000 0.0000 0.1695 1
Sb1 0.0000 0.0000 0.5752 1
Se1 0.0000 0.0000 0.3959 1